--- w ---
## Dy2Tm4Mg (GGA-PBE)

Data for a relaxed structure of Dy2Tm4Mg.

The structure in POSCAR format:
```
Dy2Tm4Mg
1.0
5.9347 0.0000 -0.3355
0.0000 6.4481 0.0000
-2.3334 0.0000 11.0654
Mg Dy Tm
2 4 8
Cartesian
0.5497 4.8360 1.7847
3.0516 1.6120 8.9452
3.5933 4.8360 -0.1547
0.0080 1.6120 10.8846
0.6687 1.6120 4.5904
2.9326 4.8360 6.1395
0.4467 6.4335 7.7602
3.1546 3.2094 2.9698
3.7547 1.6120 5.9054
-1.8699 4.8360 9.6586
5.4712 1.6120 1.0714
-0.1533 4.8360 4.8246
0.4467 3.2386 7.7602
3.1546 0.0146 2.9698
```

Summary:
Total magnetic moment, μB/f.u.: 0.000


--- x ---
## Dy2Tm4Mg (GGA-PBE)

Data for a relaxed structure of Dy2Tm4Mg.

The structure in POSCAR format:
```
Dy2Tm4Mg
1.0
3.5706 0.0000 0.0000
0.0001 5.2900 -2.5086
-0.0001 0.6859 11.1788
Mg Tm Dy
1 4 2
Cartesian
0.0000 5.9758 8.6702
3.5705 2.4749 8.0632
1.7853 4.9131 6.3227
3.5706 3.5009 0.6071
1.7853 1.0626 2.3476
1.7853 0.3430 5.5894
0.0000 2.9880 4.3350
```

Summary:
Total magnetic moment, μB/f.u.: 0.000


w (36 meV/atom below the next structure)